This record from Alexandria describes a relaxed FeOsI2O crystal. The functional is PBE with a Hubbard U.

a b c (Å): 5.2875 5.2875 3.4996
angles (deg): 90.00 90.00 90.00
Sites, in units of the cell vectors:
1 Fe 0.0000 0.0000 0.0000
2 Os 0.5000 0.5000 0.5000
3 I 0.0000 0.5000 0.0000
4 I 0.5000 0.0000 0.0000
5 O 0.0000 0.0000 0.5000

Calculated values
polymorph energy (0 for the lowest one)	0.7449	eV per atom